Entry 1:
# Dy2S2O

A crystal of Dy2S2O relaxed with PBEsol (meta-GGA SCAN, Alexandria).

The structure in extended XYZ format:
```
20
Lattice="8.152 0.000 0.000 0.000 6.833 0.000 -1.131 0.000 6.684" Properties=species:S:1:pos:R:3 pbc="T T T"
Dy 0.260 0.978 2.141
Dy -0.306 2.438 5.483
Dy 2.676 3.786 1.672
Dy 2.111 6.463 5.014
Dy 4.911 0.370 1.670
Dy 4.345 3.047 5.012
Dy 7.327 4.394 1.201
Dy 6.762 5.855 4.543
S 0.829 4.333 3.835
S 1.394 5.916 0.493
S 2.916 1.519 3.144
S 2.350 1.898 6.486
S 4.671 4.935 0.198
S 4.106 5.314 3.540
S 5.628 0.916 6.191
S 6.193 2.500 2.849
O 0.218 0.595 4.343
O 0.783 2.821 1.001
O 6.239 4.012 5.683
O 6.804 6.237 2.341
```

Output
- E_form (uncorrected): -14.74 eV per formula unit
- SG: P2_1/c
- E_tot: -27.16 eV/atom
- Theoretical density: 7.228 g cm⁻³
- Energy above the lowest structure with this stoichiometry: 0.0 meV/atom

Entry 2:
# Dy2SO2

A crystal of Dy2SO2 relaxed with PBEsol (meta-GGA SCAN, Alexandria).

The structure in extended XYZ format:
```
5
Lattice="3.759 0.000 0.000 -1.880 3.256 0.000 0.000 0.000 6.523" Properties=species:S:1:pos:R:3 pbc="T T T"
Dy 0.000 2.170 1.840
Dy 1.880 1.085 4.683
S 0.000 0.000 0.000
O 0.000 2.170 4.107
O 1.880 1.085 2.417
```

Output
- E_form (uncorrected): -17.76 eV per formula unit
- SG: P-3m1
- E_tot: -27.09 eV/atom
- Theoretical density: 8.093 g cm⁻³

Entry 3:
# Dy2S2O

A crystal of Dy2S2O relaxed with PBEsol (meta-GGA SCAN, Alexandria).

The structure in extended XYZ format:
```
20
Lattice="15.342 0.000 0.000 0.000 3.761 0.000 0.000 0.000 6.663" Properties=species:S:1:pos:R:3 pbc="T T T"
Dy 0.633 0.940 1.377
Dy 2.537 0.940 5.042
Dy 5.134 2.821 1.711
Dy 7.038 2.821 4.708
Dy 8.304 0.940 1.954
Dy 10.208 0.940 4.952
Dy 12.805 2.821 1.621
Dy 14.709 2.821 5.286
S 1.544 2.821 3.412
S 2.759 2.821 0.318
S 4.912 0.940 3.650
S 6.127 0.940 0.080
S 9.215 2.821 6.583
S 10.430 2.821 3.013
S 12.583 0.940 6.345
S 13.798 0.940 3.251
O 0.472 0.940 5.783
O 7.199 2.821 2.452
O 8.143 0.940 4.211
O 14.870 2.821 0.880
```

Output
- E_form (uncorrected): -14.71 eV per formula unit
- SG: Pnma
- E_tot: -27.16 eV/atom
- Theoretical density: 6.999 g cm⁻³
- Energy above the lowest structure with this stoichiometry: 4.6 meV/atom

Entry 4:
# Dy2ZnTe2S2O14

A crystal of Dy2ZnTe2S2O14 relaxed with PBEsol (meta-GGA SCAN, Alexandria).

The structure in extended XYZ format:
```
21
Lattice="5.213 0.000 0.000 0.710 7.731 0.000 2.275 3.427 6.878" Properties=species:S:1:pos:R:3 pbc="T T T"
Dy 0.569 2.011 0.112
Dy 7.630 9.147 6.766
Zn 1.137 1.714 3.439
Te 4.586 7.883 4.508
Te 3.613 3.276 2.370
S 2.437 6.671 1.739
S 5.762 4.488 5.139
O 1.712 5.376 1.734
O 2.275 7.386 3.020
O 1.791 7.446 0.623
O 3.718 7.368 6.123
O 3.508 9.478 4.572
O 2.120 2.336 1.678
O 4.322 4.703 5.378
O 3.877 6.455 1.500
O 6.079 8.822 5.200
O 4.690 1.680 2.306
O 4.481 3.790 0.756
O 6.407 3.713 6.255
O 5.923 3.773 3.858
O 6.487 5.783 5.144
```

Output
- E_form (uncorrected): -44.93 eV per formula unit
- SG: P-1
- E_tot: -15.95 eV/atom
- Theoretical density: 5.593 g cm⁻³

Entry 5:
# Dy2SbO2

A crystal of Dy2SbO2 relaxed with PBEsol (meta-GGA SCAN, Alexandria).

The structure in extended XYZ format:
```
5
Lattice="-1.900 1.900 6.565 1.900 -1.900 6.565 1.900 1.900 -6.565" Properties=species:S:1:pos:R:3 pbc="T T T"
Dy 0.000 0.000 2.166
Dy 0.000 0.000 10.963
Sb 0.000 0.000 6.565
O 1.900 0.000 3.282
O 0.000 1.900 3.282
```

Output
- E_form (uncorrected): -14.98 eV per formula unit
- SG: I4/mmm
- E_tot: -32.06 eV/atom
- Theoretical density: 8.389 g cm⁻³

Entry 6:
# Dy9Sb5O5

A crystal of Dy9Sb5O5 relaxed with PBEsol (meta-GGA SCAN, Alexandria).

The structure in extended XYZ format:
```
38
Lattice="9.737 0.000 0.000 0.000 9.737 0.000 0.000 0.000 8.743" Properties=species:S:1:pos:R:3 pbc="T T T"
Dy 0.240 3.238 0.014
Dy 0.436 8.318 5.751
Dy 1.419 5.305 2.992
Dy 1.630 0.240 0.014
Dy 2.434 2.434 5.871
Dy 3.238 4.628 0.014
Dy 3.450 9.301 2.992
Dy 4.433 6.288 5.751
Dy 4.628 1.630 0.014
Dy 5.109 8.107 8.729
Dy 5.305 3.450 2.992
Dy 6.288 0.436 5.751
Dy 6.499 5.109 8.729
Dy 7.303 7.303 2.872
Dy 8.107 9.497 8.729
Dy 8.318 4.433 5.751
Dy 9.301 1.419 2.992
Dy 9.497 6.499 8.729
Sb 0.529 8.236 2.634
Sb 1.501 5.398 6.110
Sb 2.434 2.434 2.768
Sb 3.368 9.208 6.110
Sb 4.339 6.370 2.634
Sb 5.398 3.368 6.110
Sb 6.370 0.529 2.634
Sb 7.303 7.303 5.975
Sb 8.236 4.339 2.634
Sb 9.208 1.501 6.110
O 0.246 8.475 7.979
O 1.262 5.115 0.765
O 2.434 2.434 8.183
O 3.607 9.491 0.765
O 4.623 6.131 7.979
O 5.115 3.607 0.765
O 6.131 0.246 7.979
O 7.303 7.303 0.560
O 8.475 4.623 7.979
O 9.491 1.262 0.765
```

Output
- E_form (uncorrected): -45.44 eV per formula unit
- SG: P4/n
- E_tot: -36.48 eV/atom
- Theoretical density: 8.618 g cm⁻³

Entry 7:
# Dy2Sb2O7

A crystal of Dy2Sb2O7 relaxed with PBEsol (meta-GGA SCAN, Alexandria).

The structure in extended XYZ format:
```
66
Lattice="7.444 0.000 0.000 -3.722 6.447 0.000 0.000 0.000 18.340" Properties=species:S:1:pos:R:3 pbc="T T T"
Dy -3.067 5.312 3.057
Dy -3.114 5.394 12.227
Dy 0.608 1.053 0.000
Dy 0.655 1.135 9.170
Dy -1.184 4.406 9.388
Dy 0.498 3.218 15.501
Dy 2.538 2.040 2.839
Dy 0.686 5.269 3.274
Dy 4.408 1.178 8.952
Dy 4.220 3.229 15.066
Dy 6.134 0.000 15.283
Dy 6.228 0.000 6.113
Sb -1.122 1.943 3.057
Sb -1.221 2.115 12.227
Sb -1.254 4.299 0.019
Sb 2.244 0.000 15.283
Sb 2.443 0.000 6.113
Sb 0.626 3.211 6.132
Sb 2.468 2.147 12.208
Sb 0.628 5.383 12.245
Sb 4.350 1.064 18.322
Sb 2.501 4.331 0.000
Sb 2.600 4.504 9.170
Sb 4.348 3.236 6.095
O -2.967 5.201 0.535
O -1.203 2.164 14.478
O -3.056 5.491 14.396
O -1.234 2.770 5.632
O -1.651 4.236 16.390
O 0.495 1.055 2.169
O 0.666 0.956 16.171
O 0.702 1.276 6.648
O 0.755 1.246 11.692
O -1.037 4.393 11.726
O -0.873 4.462 1.956
O 0.294 3.459 8.069
O 0.436 3.352 17.839
O -1.246 6.407 8.364
O 2.476 0.040 3.862
O 0.879 2.899 4.163
O -0.706 6.130 17.858
O 3.016 0.316 12.709
O 2.071 2.211 14.177
O 0.579 4.972 14.182
O 0.601 5.148 5.612
O 2.685 2.054 0.501
O 2.849 1.984 10.271
O 0.772 5.759 10.276
O 1.940 3.993 11.745
O 2.488 3.677 6.595
O 4.494 0.688 1.951
O 2.450 4.323 2.251
O 2.519 4.283 16.089
O 4.323 1.298 6.614
O 4.301 1.475 16.385
O 4.016 2.987 4.158
O 4.158 3.094 12.728
O 2.266 6.416 12.761
O 5.988 0.031 17.806
O 2.561 6.348 8.283
O 6.283 0.099 3.944
O 4.601 3.548 8.064
O 5.662 2.454 0.482
O 4.217 5.392 10.058
O 6.172 2.124 9.976
O 4.424 5.170 5.579
```

Output
- E_form (uncorrected): -28.44 eV per formula unit
- SG: P3_121
- E_tot: -22.02 eV/atom
- Theoretical density: 7.703 g cm⁻³

Entry 8:
# Dy2SeO2

A crystal of Dy2SeO2 relaxed with PBEsol (meta-GGA SCAN, Alexandria).

The structure in extended XYZ format:
```
5
Lattice="-1.889 1.889 5.971 1.889 -1.889 5.971 1.889 1.889 -5.971" Properties=species:S:1:pos:R:3 pbc="T T T"
Dy 0.000 0.000 1.858
Dy 0.000 0.000 10.084
Se 0.000 0.000 5.971
O 1.889 0.000 2.985
O 0.000 1.889 2.985
```

Output
- E_form (uncorrected): -17.04 eV per formula unit
- SG: I4/mmm
- E_tot: -29.04 eV/atom
- Theoretical density: 8.491 g cm⁻³

Entry 9:
# Dy2Se3O12

A crystal of Dy2Se3O12 relaxed with PBEsol (meta-GGA SCAN, Alexandria).

The structure in extended XYZ format:
```
34
Lattice="3.520 -5.702 0.000 3.520 5.702 0.000 -3.508 0.000 10.575" Properties=species:S:1:pos:R:3 pbc="T T T"
Dy 0.900 1.426 0.977
Dy -0.854 -1.426 6.265
Dy 4.386 1.426 4.310
Dy 2.632 -1.426 9.598
Se 2.643 4.190 2.644
Se 0.859 1.363 4.482
Se -0.895 -1.363 9.770
Se 4.427 1.363 0.805
Se 2.673 -1.363 6.093
Se 0.889 -4.190 7.931
O 2.225 -3.317 8.335
O 1.307 3.317 2.240
O 3.041 5.117 1.283
O 2.245 5.117 4.004
O 0.526 3.460 6.411
O 3.043 2.289 0.457
O 1.221 0.601 3.049
O 0.535 0.380 5.766
O 1.252 3.460 9.452
O 2.243 2.289 4.830
O -0.533 -0.601 8.337
O 2.289 -0.380 0.478
O 3.979 3.317 3.047
O -0.447 -3.317 7.528
O 1.244 0.380 10.096
O 4.065 0.601 2.238
O 1.289 -2.289 5.745
O 2.280 -3.460 1.123
O 2.997 -0.380 4.809
O 2.311 -0.601 7.526
O 0.489 -2.289 10.118
O 3.006 -3.460 4.164
O 1.287 -5.117 6.570
O 0.491 -5.117 9.292
```

Output
- E_form (uncorrected): -29.28 eV per formula unit
- SG: C2/c
- E_tot: -15.29 eV/atom
- Theoretical density: 5.898 g cm⁻³
- Energy above the lowest structure with this stoichiometry: 20.6 meV/atom

Entry 10:
# Dy2SeO2

A crystal of Dy2SeO2 relaxed with PBEsol (meta-GGA SCAN, Alexandria).

The structure in extended XYZ format:
```
5
Lattice="3.795 0.000 0.000 -1.897 3.286 0.000 0.000 0.000 6.739" Properties=species:S:1:pos:R:3 pbc="T T T"
Dy 0.000 2.191 1.958
Dy 1.897 1.095 4.781
Se 0.000 0.000 0.000
O 0.000 2.191 4.218
O 1.897 1.095 2.522
```

Output
- E_form (uncorrected): -17.22 eV per formula unit
- SG: P-3m1
- E_tot: -29.07 eV/atom
- Theoretical density: 8.615 g cm⁻³

Entry 11:
# DySeO3

A crystal of DySeO3 relaxed with PBEsol (meta-GGA SCAN, Alexandria).

The structure in extended XYZ format:
```
40
Lattice="5.910 0.000 0.000 0.000 12.166 0.000 -2.484 0.000 8.418" Properties=species:S:1:pos:R:3 pbc="T T T"
Dy 0.424 2.927 1.309
Dy -0.818 3.156 5.518
Dy 1.342 6.829 0.704
Dy 0.100 11.419 4.913
Dy 3.326 0.746 3.505
Dy 2.083 5.337 7.714
Dy 4.244 9.009 2.900
Dy 3.002 9.239 7.109
Se -0.946 6.309 5.677
Se 0.296 11.940 1.468
Se 1.483 7.973 4.077
Se 0.240 10.275 8.286
Se 3.185 1.890 0.132
Se 1.943 4.193 4.341
Se 3.130 0.226 6.950
Se 4.372 5.857 2.741
O -0.331 7.148 2.383
O -1.573 11.100 6.592
O -0.897 1.163 4.901
O 0.345 4.920 0.692
O -0.998 9.090 8.372
O 0.244 9.158 4.163
O -0.618 2.730 7.770
O 0.625 3.353 3.561
O 0.027 6.286 7.177
O 1.269 11.962 2.968
O 2.106 8.225 2.490
O 0.863 10.024 6.699
O 2.562 2.142 1.719
O 1.320 3.941 5.928
O 2.157 0.203 5.450
O 3.399 5.879 1.241
O 2.801 8.813 4.857
O 4.043 9.436 0.648
O 3.182 3.007 4.255
O 4.424 3.076 0.046
O 3.081 7.246 7.726
O 4.323 11.003 3.517
O 4.999 1.066 1.826
O 3.757 5.017 6.035
```

Output
- E_form (uncorrected): -11.64 eV per formula unit
- SG: P2_1/c
- E_tot: -19.64 eV/atom
- Theoretical density: 6.353 g cm⁻³

Entry 12:
# Dy2Se3O12

A crystal of Dy2Se3O12 relaxed with PBEsol (meta-GGA SCAN, Alexandria).

The structure in extended XYZ format:
```
68
Lattice="13.224 0.000 0.000 0.000 9.612 0.000 0.000 0.000 9.691" Properties=species:S:1:pos:R:3 pbc="T T T"
Dy 1.569 2.405 0.365
Dy 1.569 7.207 5.211
Dy 5.043 2.401 5.211
Dy 5.043 7.211 0.365
Dy 8.181 2.401 9.326
Dy 8.181 7.211 4.480
Dy 11.655 2.405 4.480
Dy 11.655 7.207 9.326
Se 0.000 0.289 7.268
Se 0.000 9.322 2.423
Se 1.939 3.808 3.718
Se 1.939 5.804 8.564
Se 4.673 0.998 8.564
Se 4.673 8.614 3.718
Se 6.612 4.516 2.423
Se 6.612 5.095 7.268
Se 8.551 0.998 5.973
Se 8.551 8.614 1.128
Se 11.285 3.808 1.128
Se 11.285 5.804 5.973
O 0.425 3.224 4.025
O 0.425 6.388 8.871
O 0.773 1.249 8.363
O 0.773 8.363 3.517
O 1.133 0.649 1.672
O 1.133 8.963 6.518
O 1.954 4.163 8.752
O 1.954 5.449 3.906
O 2.380 3.455 2.165
O 2.380 6.156 7.010
O 2.991 3.119 4.789
O 2.991 6.493 9.634
O 3.621 1.687 9.634
O 3.621 7.925 4.789
O 4.232 1.350 7.010
O 4.232 8.261 2.165
O 4.658 0.643 3.906
O 4.658 8.969 8.752
O 5.479 4.157 6.518
O 5.479 5.455 1.672
O 5.839 3.557 3.517
O 5.839 6.055 8.363
O 6.188 1.582 8.871
O 6.188 8.030 4.025
O 7.037 1.582 5.666
O 7.037 8.030 0.821
O 7.385 3.557 1.329
O 7.385 6.055 6.174
O 7.746 4.157 8.019
O 7.746 5.455 3.174
O 8.567 0.643 0.940
O 8.567 8.969 5.785
O 8.992 1.350 7.526
O 8.992 8.261 2.681
O 9.603 1.687 4.902
O 9.603 7.925 0.057
O 10.234 3.119 0.057
O 10.234 6.493 4.902
O 10.845 3.455 2.681
O 10.845 6.156 7.526
O 11.270 4.163 5.785
O 11.270 5.449 0.940
O 12.091 0.649 3.174
O 12.091 8.963 8.019
O 12.451 1.249 6.174
O 12.451 8.363 1.329
O 12.800 3.224 0.821
O 12.800 6.388 5.666
```

Output
- E_form (uncorrected): -29.63 eV per formula unit
- SG: Pbcn
- E_tot: -15.31 eV/atom
- Theoretical density: 4.065 g cm⁻³
- Energy above the lowest structure with this stoichiometry: 0.0 meV/atom

theoretical density of number 11 (DySeO3)? 6.353 g cm⁻³

Number 11 is which compound? DySeO3

Among the records above, which one has the lowest E_form (uncorrected)? Dy9Sb5O5

What is the formula in the tenth record? Dy2SeO2